1.
# Rb2NbOs3O12 | Alexandria | PBE | optimized geometry
# Energy relative to the elements, uncorrected in kJ/mol of formula units: -2556
# Crystal system: trigonal
data_Rb2NbOs3O12
_chemical_formula_sum 'Rb6 Nb3 Os9 O36'
_symmetry_space_group_name_H-M 'R -3 m'
_symmetry_Int_Tables_number 166
_symmetry_space_group_name_Hall '-R 3 2"'
_cell_length_a 7.2403
_cell_length_b 7.2403
_cell_length_c 18.2281
_cell_angle_alpha 90.00
_cell_angle_beta 90.00
_cell_angle_gamma 120.00
loop_
_atom_site_label
_atom_site_fract_x
_atom_site_fract_y
_atom_site_fract_z
Rb1 0.0000 0.0000 0.1268
Nb1 0.0000 0.0000 0.5000
Os1 0.0000 0.5000 0.0000
O1 0.0674 0.5337 0.1048
O2 0.0815 0.5407 0.3477

2.
# BeCo2B | Alexandria | PBE | optimized geometry
# Energy relative to the lowest polymorph listed for this composition in meV per atom: 15
# Energy relative to the elements in eV/atom: -0.329
# Crystal system: tetragonal
data_BeCo2B
_chemical_formula_sum 'Be1 Co2 B1'
_symmetry_space_group_name_H-M 'P 4/m m m'
_symmetry_Int_Tables_number 123
_symmetry_space_group_name_Hall '-P 4 2'
_cell_length_a 2.523
_cell_length_b 2.523
_cell_length_c 5.093
_cell_angle_alpha 90.00
_cell_angle_beta 90.00
_cell_angle_gamma 90.00
loop_
_atom_site_label
_atom_site_fract_x
_atom_site_fract_y
_atom_site_fract_z
Be1 0.000 0.000 0.000
Co1 0.500 0.500 0.267
B1 0.000 0.000 0.500

| no. | calculated total energy (eV/atom) |
| --- | --- |
| 1 | -7.3156 |
| 2 | -6.4827 |